Record 1
# ZnInBr3 | Alexandria via LeMat-Bulk | GGA-PBE | relaxed
# Formation energy from raw total energies = -787 meV per atom
# Density = 3.7 g cm⁻³
data_ZnInBr3
_cell_length_a 9.7531
_cell_length_b 6.4272
_cell_length_c 15.0750
_cell_angle_alpha 90.00
_cell_angle_beta 126.87
_cell_angle_gamma 90.00
_symmetry_space_group_name_H-M 'P 1 21/c 1'
_symmetry_Int_Tables_number 14
loop_
_symmetry_equiv_pos_as_xyz
'x,y,z'
'-x,-y,-z'
'-x,y+1/2,-z+1/2'
'x,-y+1/2,z+1/2'
loop_
_atom_site_label
_atom_site_fract_x
_atom_site_fract_y
_atom_site_fract_z
Zn1 0.1596 0.1519 0.2914
In1 0.3614 0.7220 0.5710
Br1 0.1321 0.7379 0.7831
Br2 0.2713 0.2391 0.1921
Br3 0.3669 0.2401 0.4859

Record 2
# SmHoTm2Se6 | Alexandria via LeMat-Bulk | GGA-PBE | relaxed
# Formation energy from raw total energies = -1841 meV per atom
# Density = 6.5 g cm⁻³
data_SmHoTm2Se6
_cell_length_a 7.1915
_cell_length_b 7.1915
_cell_length_c 19.3705
_cell_angle_alpha 90.00
_cell_angle_beta 90.00
_cell_angle_gamma 120.00
_symmetry_space_group_name_H-M 'R 3'
_symmetry_Int_Tables_number 146
_symmetry_space_group_name_Hall 'R 3'
loop_
_atom_site_label
_atom_site_fract_x
_atom_site_fract_y
_atom_site_fract_z
Sm1 0.0000 0.0000 0.0000
Ho1 0.0000 0.0000 0.4967
Tm1 0.0000 0.0000 0.3008
Tm2 0.0000 0.0000 0.8029
Se1 0.0068 0.3112 0.8970
Se2 0.0171 0.7074 0.3976

Record 3
# Ta3AlH2 | Alexandria via LeMat-Bulk | GGA-PBE | relaxed
# Electronic total energy = -7.72 eV/atom
# Density = 11.8 g cm⁻³
data_Ta3AlH2
_cell_length_a 14.1079
_cell_length_b 3.3302
_cell_length_c 7.1148
_cell_angle_alpha 90.00
_cell_angle_beta 105.76
_cell_angle_gamma 90.00
_symmetry_space_group_name_H-M 'C 1 2/m 1'
_symmetry_Int_Tables_number 12
loop_
_symmetry_equiv_pos_as_xyz
'x,y,z'
'-x,-y,-z'
'-x,y,-z'
'x,-y,z'
'x+1/2,y+1/2,z'
'-x+1/2,-y+1/2,-z'
'-x+1/2,y+1/2,-z'
'x+1/2,-y+1/2,z'
loop_
_atom_site_label
_atom_site_fract_x
_atom_site_fract_y
_atom_site_fract_z
Ta1 0.0547 0.0000 0.3187
Ta2 0.1062 0.5000 0.6717
Ta3 0.2245 0.5000 0.3160
Al1 0.1681 0.0000 0.9955
H1 0.0104 0.5000 0.8200
H2 0.1968 0.0000 0.4205